# FeIr2, relaxed, DFT GGA-PBEsol
# **Formation energy from the elements**: -0.014 eV/atom
# **Crystal system**: monoclinic
data_FeIr2
_cell_length_a 9.659
_cell_length_b 2.688
_cell_length_c 6.273
_cell_angle_alpha 90.00
_cell_angle_beta 103.83
_cell_angle_gamma 90.00
_symmetry_space_group_name_H-M 'C 1 m 1'
_symmetry_Int_Tables_number 8
loop_
_symmetry_equiv_pos_as_xyz
'x,y,z'
'x,-y,z'
'x+1/2,y+1/2,z'
'x+1/2,-y+1/2,z'
loop_
_atom_site_label
_atom_site_type_symbol
_atom_site_fract_x
_atom_site_fract_y
_atom_site_fract_z
Fe1 Fe 0.000 0.000 0.000
Fe2 Fe 0.167 0.500 0.327
Ir1 Ir 0.058 0.000 0.604
Ir2 Ir 0.220 0.500 0.948
Ir3 Ir 0.336 0.000 0.667
Ir4 Ir 0.391 0.000 0.271

# SrMg14MnO16, relaxed, DFT GGA-PBEsol
# **Polymorph energy (0 for the lowest one)**: 0.0035 eV per atom
# **ΔE_f (raw)**: -2.5551 eV per atom
# **Crystal system**: orthorhombic
data_SrMg14MnO16
_cell_length_a 4.369
_cell_length_b 8.587
_cell_length_c 8.621
_cell_angle_alpha 90.00
_cell_angle_beta 90.00
_cell_angle_gamma 90.00
_symmetry_space_group_name_H-M 'P m m m'
_symmetry_Int_Tables_number 47
loop_
_symmetry_equiv_pos_as_xyz
'x,y,z'
'-x,-y,-z'
'-x,-y,z'
'x,y,-z'
'x,-y,-z'
'-x,y,z'
'-x,y,-z'
'x,-y,z'
loop_
_atom_site_label
_atom_site_type_symbol
_atom_site_fract_x
_atom_site_fract_y
_atom_site_fract_z
Sr1 Sr 0.000 0.000 0.000
Mg1 Mg 0.000 0.000 0.500
Mg2 Mg 0.000 0.255 0.257
Mg3 Mg 0.000 0.500 0.500
Mg4 Mg 0.500 0.000 0.259
Mg5 Mg 0.500 0.251 0.500
Mg6 Mg 0.500 0.259 0.000
Mg7 Mg 0.500 0.500 0.253
Mn1 Mn 0.000 0.500 0.000
O1 O 0.000 0.000 0.271
O2 O 0.000 0.253 0.500
O3 O 0.000 0.268 0.000
O4 O 0.000 0.500 0.262
O5 O 0.500 0.000 0.000
O6 O 0.500 0.000 0.500
O7 O 0.500 0.250 0.250
O8 O 0.500 0.500 0.000
O9 O 0.500 0.500 0.500

# SrCa2Zn, relaxed, DFT GGA-PBEsol
# **Formation energy from the elements**: -0.088 eV/atom
# **Crystal system**: tetragonal
data_SrCa2Zn
_cell_length_a 3.763
_cell_length_b 3.763
_cell_length_c 9.625
_cell_angle_alpha 90.00
_cell_angle_beta 90.00
_cell_angle_gamma 90.00
_symmetry_space_group_name_H-M 'P 4/m m m'
_symmetry_Int_Tables_number 123
_symmetry_space_group_name_Hall '-P 4 2'
loop_
_atom_site_label
_atom_site_type_symbol
_atom_site_fract_x
_atom_site_fract_y
_atom_site_fract_z
Sr1 Sr 0.000 0.000 0.000
Ca1 Ca 0.500 0.500 0.322
Zn1 Zn 0.000 0.000 0.500

# KCrSe, relaxed, DFT GGA-PBEsol
# **ΔE_f (raw)**: -0.0375 eV per atom
# **Crystal system**: tetragonal
data_KCrSe
_cell_length_a 3.629
_cell_length_b 3.629
_cell_length_c 12.221
_cell_angle_alpha 90.00
_cell_angle_beta 90.00
_cell_angle_gamma 90.00
_symmetry_space_group_name_H-M 'I 4 m m'
_symmetry_Int_Tables_number 107
_symmetry_space_group_name_Hall 'I 4 -2'
loop_
_atom_site_label
_atom_site_type_symbol
_atom_site_fract_x
_atom_site_fract_y
_atom_site_fract_z
K1 K 0.000 0.000 0.000
Cr1 Cr 0.000 0.000 0.265
Se1 Se 0.000 0.000 0.727

The calculation returns the following electronic total energy values, one per record and in order: -9.55; -6.29; -2.01; -5.11 eV per atom.
The calculation returns the following total magnetic moment values, one per record and in order: 2.35; 4.99; 0.00; 4.20 μB per formula unit.
The calculation returns the following N(E_F) values, one per record and in order: 1.1817; 0.0132; 0.8664; 0.5068 states/eV per atom.